Material: KAlTc2W
Method: DFT, PBE-GGA
State: relaxed

The calculation puts the calculated formation energy at 3.13 eV per atom.

The space group is P4/mmm (No. 123) and the conventional cell measures 4.4768, 4.4768 and 4.6220 Å, with angles of 90.00, 90.00 and 90.00 degrees. The inequivalent atoms are K at (0.0000, 0.0000, 0.0000), Al at (0.5000, 0.5000, 0.5000), Tc at (0.0000, 0.5000, 0.0000) and W at (0.0000, 0.0000, 0.5000).